MgNbPdRu | GGA-PBE | relaxed

The structure in extended XYZ format:
```
4
Lattice="4.4912 0.0000 0.0000 2.2456 3.8895 0.0000 2.2456 1.2965 3.6670" Properties=species:S:1:pos:R:3 pbc="T T T"
Mg 0.0000 0.0000 0.0000
Pd 6.7368 3.8895 2.7503
Ru 2.2456 1.2965 0.9168
Nb 4.4912 2.5930 1.8335
```

Output
**Energy of formation**: -0.29 eV/atom
**E**: -6.8203 eV per atom
**DOS(E_F)**: 4.26 states/eV/f.u.